Entry 1:
{"formula": "SiC2", "functional": "PBE-GGA", "state": "relaxed", "rho_g_cm3": 3.04, "dos_at_fermi_per_ev_atom": 0.064, "crystal_system": "orthorhombic", "spacegroup": "Cmcm, No. 63", "formation_energy_uncorrected_ev_per_atom": 1.13, "lattice_angstrom": [[4.3344, 0.0000, 0.0000], [0.0000, 6.0756, 0.0000], [0.0000, 0.0000, 4.3224]], "species": ["Si", "Si", "Si", "Si", "C", "C", "C", "C", "C", "C", "C", "C"], "frac_coords": [[0.0000, 0.1832, 0.2500], [0.0000, 0.8168, 0.7500], [0.5000, 0.3168, 0.7500], [0.5000, 0.6832, 0.2500], [0.1631, 0.1190, 0.7500], [0.1631, 0.8810, 0.2500], [0.3369, 0.3810, 0.2500], [0.3369, 0.6190, 0.7500], [0.6631, 0.3810, 0.2500], [0.6631, 0.6190, 0.7500], [0.8369, 0.1190, 0.7500], [0.8369, 0.8810, 0.2500]]}


Entry 2:
{"formula": "SiC", "functional": "PBE-GGA", "state": "relaxed", "rho_g_cm3": 2.88, "dos_at_fermi_per_ev_atom": 0.249, "crystal_system": "tetragonal", "spacegroup": "P4/nmm, No. 129", "formation_energy_uncorrected_ev_per_atom": 1.37, "lattice_angstrom": [[3.2196, 0.0000, 0.0000], [0.0000, 3.2196, 0.0000], [0.0000, 0.0000, 4.4646]], "species": ["Si", "Si", "C", "C"], "frac_coords": [[0.2500, 0.2500, 0.2333], [0.7500, 0.7500, 0.7667], [0.2500, 0.7500, 0.5000], [0.7500, 0.2500, 0.5000]]}


Entry 3:
{"formula": "Si4C3", "functional": "PBE-GGA", "state": "relaxed", "rho_g_cm3": 3.66, "dos_at_fermi_per_ev_atom": 0.241, "crystal_system": "cubic", "spacegroup": "Pm-3m, No. 221", "formation_energy_uncorrected_ev_per_atom": 0.73, "lattice_angstrom": [[4.0684, 0.0000, 0.0000], [0.0000, 4.0684, 0.0000], [0.0000, 0.0000, 4.0684]], "species": ["Si", "Si", "Si", "Si", "C", "C", "C"], "frac_coords": [[0.0000, 0.0000, 0.0000], [0.0000, 0.5000, 0.5000], [0.5000, 0.0000, 0.5000], [0.5000, 0.5000, 0.0000], [0.0000, 0.0000, 0.5000], [0.0000, 0.5000, 0.0000], [0.5000, 0.0000, 0.0000]]}


Entry 4:
{"formula": "SiC", "functional": "PBE-GGA", "state": "relaxed", "rho_g_cm3": 3.17, "dos_at_fermi_per_ev_atom": 0.000, "crystal_system": "hexagonal", "spacegroup": "P6_3mc, No. 186", "formation_energy_uncorrected_ev_per_atom": -0.21, "lattice_angstrom": [[3.0948, 0.0000, 0.0000], [-1.5474, 2.6802, 0.0000], [0.0000, 0.0000, 15.1862]], "species": ["Si", "Si", "Si", "Si", "Si", "Si", "C", "C", "C", "C", "C", "C"], "frac_coords": [[0.0000, 0.0000, 0.0000], [0.0000, 0.0000, 0.5000], [0.3333, 0.6667, 0.1668], [0.3333, 0.6667, 0.8332], [0.6667, 0.3333, 0.3332], [0.6667, 0.3333, 0.6668], [0.0000, 0.0000, 0.3746], [0.0000, 0.0000, 0.8746], [0.3333, 0.6667, 0.0418], [0.3333, 0.6667, 0.7083], [0.6667, 0.3333, 0.2083], [0.6667, 0.3333, 0.5418]]}


Entry 5:
{"formula": "Si2C", "functional": "PBE-GGA", "state": "relaxed", "rho_g_cm3": 3.07, "dos_at_fermi_per_ev_atom": 0.456, "crystal_system": "tetragonal", "spacegroup": "P4_2/mnm, No. 136", "formation_energy_uncorrected_ev_per_atom": 1.12, "lattice_angstrom": [[5.0636, 0.0000, 0.0000], [0.0000, 5.0636, 0.0000], [0.0000, 0.0000, 2.8805]], "species": ["Si", "Si", "Si", "Si", "C", "C"], "frac_coords": [[0.1960, 0.1960, 0.0000], [0.3040, 0.6960, 0.5000], [0.6960, 0.3040, 0.5000], [0.8040, 0.8040, 0.0000], [0.0000, 0.0000, 0.5000], [0.5000, 0.5000, 0.0000]]}


Entry 6:
{"formula": "SiC", "functional": "PBE-GGA", "state": "relaxed", "rho_g_cm3": 2.47, "dos_at_fermi_per_ev_atom": 0.000, "crystal_system": "orthorhombic", "spacegroup": "Fddd, No. 70", "formation_energy_uncorrected_ev_per_atom": 0.16, "lattice_angstrom": [[0.0000, 4.1567, 4.2688], [3.0340, 0.0000, 4.2688], [3.0340, 4.1567, 0.0000]], "species": ["Si", "Si", "Si", "Si", "C", "C", "C", "C"], "frac_coords": [[0.0261, 0.0261, 0.7239], [0.2761, 0.2761, 0.9739], [0.7239, 0.7239, 0.0261], [0.9739, 0.9739, 0.2761], [0.0486, 0.7014, 0.0486], [0.2986, 0.9514, 0.2986], [0.7014, 0.0486, 0.7014], [0.9514, 0.2986, 0.9514]]}